No. 1
DFT (GGA-PBE) results for a geometry-optimized TbErMg14 structure.

Structure (POSCAR):
```
TbErMg14
1.0
-3.5111 4.1625 4.2615
-5.6297 -3.9358 -0.7940
2.2528 -4.4793 6.2313
Mg Tb Er
14 1 1
direct
0.6260 0.1240 0.2392
0.8750 0.3750 0.5000
0.3750 0.8750 0.5000
0.1240 0.1240 0.2392
0.1240 0.1240 0.7608
0.6260 0.6260 0.7609
0.3750 0.8750 0.0000
0.8750 0.3750 0.0000
0.1240 0.6260 0.7608
0.6260 0.1240 0.7608
0.8750 0.8750 0.0000
0.6260 0.6260 0.2391
0.1240 0.6260 0.2392
0.3750 0.3750 0.0000
0.3750 0.3750 0.5000
0.8750 0.8750 0.5000
```

## Properties
**Energy of formation from the pure elements**: -0.026 eV per atom
**Calculated volume**: 382.4 Å³ per cell

=====

No. 2
DFT (GGA-PBE) results for a geometry-optimized TbEr3Mg structure.

Structure (POSCAR):
```
TbEr3Mg
1.0
-0.2826 -2.9857 1.9723
2.2938 -4.8841 -3.7974
12.2151 1.5566 4.1013
Er Mg Tb
6 2 2
direct
0.1517 0.6964 0.4324
0.6335 0.7331 0.9795
0.9671 0.0667 0.8125
0.8483 0.3036 0.5676
0.0329 0.9333 0.1875
0.3665 0.2669 0.0205
0.4353 0.1284 0.3793
0.5647 0.8716 0.6207
0.2358 0.5292 0.7676
0.7642 0.4708 0.2324
```

## Properties
**Energy of formation from the pure elements**: -0.016 eV per atom
**E above lowest polymorph**: 0 meV per atom
**Calculated volume**: 295.3 Å³ per cell

=====

No. 3
DFT (GGA-PBE) results for a geometry-optimized Tb5ErMg4 structure.

Structure (POSCAR):
```
Tb5ErMg4
1.0
-2.3378 2.9155 0.1307
-2.1773 -1.6309 -2.5657
-10.5003 -9.0775 14.6810
Tb Mg Er
5 4 1
direct
0.5000 0.5000 0.3093
0.5000 0.5000 0.1162
0.5000 0.5000 0.6908
0.5000 0.5000 0.5000
0.5000 0.5000 0.8838
0.0000 0.0000 0.5957
0.0000 0.0000 0.4043
0.0000 0.0000 0.7866
0.0000 0.0000 0.2134
0.0000 0.0000 0.0000
```

## Properties
**Energy of formation from the pure elements**: -0.057 eV per atom
**Calculated volume**: 282.5 Å³ per cell

=====

No. 4
DFT (GGA-PBE) results for a geometry-optimized TbEr14Mg structure.

Structure (POSCAR):
```
TbEr14Mg
1.0
-4.4494 5.0844 1.7483
-3.9422 -1.5423 -5.5485
-5.1860 -6.4188 5.4689
Er Mg Tb
14 1 1
direct
0.3761 0.6239 0.7502
0.8739 0.1261 0.2495
0.6253 0.8751 0.5000
0.1250 0.3751 0.0000
0.6249 0.8750 0.0000
0.3760 0.1260 0.2496
0.8739 0.1261 0.7505
0.3761 0.6239 0.2498
0.8740 0.6240 0.2496
0.1249 0.3747 0.5000
0.6249 0.3751 0.0000
0.3760 0.1260 0.7504
0.1250 0.8750 0.0000
0.8740 0.6240 0.7504
0.1253 0.8747 0.5000
0.6250 0.3750 0.5000
```

## Properties
**Energy of formation from the pure elements**: 0.025 eV per atom
**Calculated volume**: 482.2 Å³ per cell

=====

No. 5
DFT (GGA-PBE) results for a geometry-optimized TbEr8Mg2 structure.

Structure (POSCAR):
```
TbEr8Mg2
1.0
5.5494 -0.3271 -0.4910
-1.4152 8.6501 -0.8465
-1.4152 -4.1127 7.6568
Er Mg Tb
8 2 1
direct
0.1290 0.3205 0.0978
0.5000 0.7871 0.2129
0.1290 0.0978 0.3205
0.7025 0.4052 0.4052
0.8710 0.9022 0.6795
0.8710 0.6795 0.9022
0.2975 0.5948 0.5948
0.5000 0.2129 0.7871
0.0000 0.3066 0.6934
0.0000 0.6934 0.3066
0.5000 0.0000 0.0000
```

## Properties
**Energy of formation from the pure elements**: 0.155 eV per atom
**Calculated volume**: 335.4 Å³ per cell

=====

No. 6
DFT (GGA-PBE) results for a geometry-optimized Tb4Er4Mg structure.

Structure (POSCAR):
```
Tb4Er4Mg
1.0
-3.8873 2.3501 -2.0722
-1.9838 -3.7582 -6.5554
-6.5890 -3.1055 2.8237
Er Tb Mg
4 4 1
direct
0.6662 0.3338 0.3338
0.0000 0.3338 0.6662
0.3338 0.6662 0.6662
0.0000 0.6662 0.3338
0.3330 0.3340 0.0001
0.6669 0.0001 0.6660
0.3331 0.9999 0.3340
0.6670 0.6660 0.9999
0.0000 0.0000 0.0000
```

## Properties
**Energy of formation from the pure elements**: 0.024 eV per atom
**E above lowest polymorph**: 0 meV per atom
**Calculated volume**: 273.6 Å³ per cell